Record 1
! Ca2NpS3 PBE-GGA optimized geometry; values from VASP
! - DOS at the Fermi energy (states/eV/cell) = 11.51
! - magnetic moment (μB/f.u.) = 4.7
&SYSTEM
  ibrav = 0, nat = 6, ntyp = 3
/
ATOMIC_SPECIES
Ca 40.08 Ca.upf
Np 237.00 Np.upf
S 32.06 S.upf
ATOMIC_POSITIONS angstrom
Ca 2.9594 -4.0503 -1.6584
Ca -3.4135 -2.7582 3.0335
Np -0.2271 -3.4043 0.6875
S 0.4376 -2.8197 -1.9804
S -0.8917 -3.9889 3.3554
S -2.7265 -2.1358 0.3428
CELL_PARAMETERS angstrom
-0.4552 -1.8515 -3.5118
4.9989 -2.5369 0.6895
-4.9978 -2.4201 4.1973

***

Record 2
! CaNp2S4 PBE-GGA optimized geometry; values from VASP
! - DOS at the Fermi energy (states/eV/cell) = 18.55
! - relative energy among the computed polymorphs (meV/atom) = 32
! - magnetic moment (μB/f.u.) = 8.0
&SYSTEM
  ibrav = 0, nat = 7, ntyp = 3
/
ATOMIC_SPECIES
Ca 40.08 Ca.upf
Np 237.00 Np.upf
S 32.06 S.upf
ATOMIC_POSITIONS angstrom
Ca 0.0000 0.0000 0.0000
Np 0.8226 1.6042 3.1511
Np 2.2666 4.4774 0.7930
S 0.1835 2.7557 0.7030
S 2.9056 3.3259 3.2410
S 0.6356 6.1035 2.4347
S 2.4536 -0.0219 1.5093
CELL_PARAMETERS angstrom
3.8563 0.0000 -1.0067
-0.7096 6.3108 -2.7181
-0.0575 -0.2293 7.6688

***

Record 3
! CaNp5S6 PBE-GGA optimized geometry; values from VASP
! - DOS at the Fermi energy (states/eV/cell) = 42.94
! - magnetic moment (μB/f.u.) = 3.9
&SYSTEM
  ibrav = 0, nat = 12, ntyp = 3
/
ATOMIC_SPECIES
Np 237.00 Np.upf
Ca 40.08 Ca.upf
S 32.06 S.upf
ATOMIC_POSITIONS angstrom
Np 1.6445 2.2620 4.7945
Np -1.5407 0.3062 3.5874
Np 2.0159 -1.2703 3.1121
Np -1.1710 -3.2108 1.9124
Np 2.3872 -4.8026 1.4297
Ca 0.0000 0.0000 0.0000
S 0.8115 1.1245 2.4078
S 2.8490 -0.1334 5.4986
S 4.3699 -0.4602 1.9309
S -0.3382 -2.0804 4.2933
S 1.1828 -2.4073 0.7256
S 3.2203 -3.6652 3.8164
CELL_PARAMETERS angstrom
-1.9106 3.8246 5.2632
-0.8011 -6.7292 0.2366
6.7434 0.3639 0.7244

***

Record 4
! CaNp4S8 PBE-GGA optimized geometry; values from VASP
! - DOS at the Fermi energy (states/eV/cell) = 36.84
! - magnetic moment (μB/f.u.) = 14.0
&SYSTEM
  ibrav = 0, nat = 13, ntyp = 3
/
ATOMIC_SPECIES
Ca 40.08 Ca.upf
Np 237.00 Np.upf
S 32.06 S.upf
ATOMIC_POSITIONS angstrom
Ca 5.1016 3.8836 7.4608
Np 3.9149 0.4706 5.7253
Np 1.4958 3.6483 5.7253
Np 4.7925 3.6483 3.4710
Np 0.0000 0.0000 0.0000
S 3.6529 5.2485 5.3422
S 7.4133 5.6434 7.3628
S 6.5503 2.5187 9.5794
S 4.1716 5.6434 9.5794
S 7.5105 5.7174 10.9836
S 2.6928 2.0499 3.9380
S 6.0316 2.1239 5.3422
S 2.7899 2.1239 7.5588
CELL_PARAMETERS angstrom
7.2116 0.4706 3.4710
2.3734 6.8261 3.4710
0.6182 0.4706 7.9795

***

no.,formation energy (no corrections) (eV per atom)
1,-1.7837
2,-1.5263
3,-1.4182
4,-1.4361